1.
4
Lattice="7.8120 -0.0099 -0.0059 6.9028 3.6578 -0.0059 6.9028 1.7112 3.2328" Properties=species:S:1:pos:R:3 comment="PBE-GGA Y2MnCr, optimized geometry" volume_a3_per_atom=23.19 e_tot_ev_per_fu=-31.06 delta_e_f_ev_per_atom=0.1652 pbc="T T T"
Cr 9.8763 2.4484 1.4715
Mn 17.1527 4.2523 2.5557
Y 0.6502 0.1612 0.0969
Y 4.7471 1.1768 0.7073

2.
4
Lattice="3.1551 0.0000 0.0000 0.0000 3.1553 0.0000 0.0000 0.0000 6.5688" Properties=species:S:1:pos:R:3 comment="PBE-GGA YMnCr2, optimized geometry" volume_a3_per_atom=16.35 e_tot_ev_per_fu=-33.17 delta_e_f_ev_per_atom=0.4278 pbc="T T T"
Cr 0.0000 0.0000 0.6005
Cr 0.0000 0.0000 2.6839
Mn 1.5775 1.5777 1.6422
Y 1.5775 1.5777 4.9266

3.
4
Lattice="-2.9376 -0.5765 -1.2961 1.9291 -2.6223 -3.2061 -0.4801 -3.6900 2.7293" Properties=species:S:1:pos:R:3 comment="PBE-GGA YMnCr2, optimized geometry" volume_a3_per_atom=17.20 e_tot_ev_per_fu=-32.88 delta_e_f_ev_per_atom=0.5005 pbc="T T T"
Cr 0.0000 0.0000 0.0000
Cr -0.5042 -1.5994 -2.2511
Mn -1.7088 -2.1332 0.7166
Y 0.7245 -3.1562 -0.2384

4.
9
Lattice="-0.5846 -0.2136 -2.7584 5.7609 -3.6691 -2.3894 0.2043 -7.1717 -0.9404" Properties=species:S:1:pos:R:3 comment="PBE-GGA YMn6Cr2, optimized geometry" volume_a3_per_atom=13.20 e_tot_ev_per_fu=-76.72 delta_e_f_ev_per_atom=0.4450 pbc="T T T"
Y 0.0000 0.0000 0.0000
Mn -0.0700 -2.7695 -1.2208
Mn 5.4506 -8.2850 -4.8674
Mn 3.4069 -9.5733 -4.3345
Mn 1.8605 -6.0503 -2.8277
Mn 3.5201 -5.0042 -3.2605
Mn 1.9737 -1.4812 -1.7537
Cr 2.0455 -3.9005 -1.5846
Cr 3.3351 -7.1540 -4.5036

5.
4
Lattice="-0.2440 4.0082 3.4833 -1.7852 -1.4617 4.7891 3.8288 -0.7147 -3.6179" Properties=species:S:1:pos:R:3 comment="PBE-GGA YMnCr2, optimized geometry" volume_a3_per_atom=17.36 e_tot_ev_per_fu=-32.79 delta_e_f_ev_per_atom=0.5231 pbc="T T T"
Cr -1.9500 2.4471 7.9496
Cr 1.2702 2.3021 2.0616
Mn -1.0837 1.3600 4.4181
Y 0.5194 -0.4577 2.6340

6.
5
Lattice="4.3988 0.0000 0.0000 0.0000 4.3988 0.0000 0.0000 0.0000 4.3988" Properties=species:S:1:pos:R:3 comment="PBE-GGA YMn3Cr, optimized geometry" volume_a3_per_atom=17.02 e_tot_ev_per_fu=-40.95 delta_e_f_ev_per_atom=0.5298 pbc="T T T"
Y 2.1994 2.1994 2.1994
Cr 0.0000 0.0000 0.0000
Mn 0.0000 2.1994 0.0000
Mn 0.0000 0.0000 2.1994
Mn 2.1994 0.0000 0.0000

7.
3
Lattice="5.8888 -0.0373 0.0402 5.0586 3.0148 0.0453 0.8303 0.2206 3.0441" Properties=species:S:1:pos:R:3 comment="PBE-GGA YMnCr, optimized geometry" volume_a3_per_atom=18.17 e_tot_ev_per_fu=-24.40 delta_e_f_ev_per_atom=0.2860 pbc="T T T"
Cr 1.3171 0.3533 2.9018
Mn 7.0918 1.9269 1.2129
Y 4.1991 1.1386 2.0589

8.
6
Lattice="0.0000 3.5240 3.5240 3.5240 0.0000 3.5240 3.5240 3.5240 0.0000" Properties=species:S:1:pos:R:3 comment="PBE-GGA YMnCr4, optimized geometry" volume_a3_per_atom=14.59 e_tot_ev_per_fu=-51.95 delta_e_f_ev_per_atom=0.3637 pbc="T T T"
Y 0.0000 0.0000 0.0000
Mn 5.2860 5.2860 5.2860
Cr 4.4055 2.6425 4.4055
Cr 2.6425 4.4055 4.4055
Cr 4.4055 4.4055 2.6425
Cr 2.6425 2.6425 2.6425

9.
8
Lattice="-6.0728 3.6056 -3.2007 -3.8309 -6.7340 -0.3172 -6.1332 -1.0263 1.0885" Properties=species:S:1:pos:R:3 comment="PBE-GGA Y2MnCr, optimized geometry" volume_a3_per_atom=23.52 e_tot_ev_per_fu=-28.88 delta_e_f_ev_per_atom=0.7091 pbc="T T T"
Y -5.8253 1.1656 -1.7772
Y -4.6691 -4.0251 -0.3169
Y -8.3027 -1.9233 -0.5019
Y -13.2768 -3.5266 -2.2627
Cr -4.9519 -1.5642 -1.7589
Cr -7.4580 -4.6622 -0.4938
Mn 0.0000 0.0000 0.0000
Mn -8.5789 0.5076 -1.9356

10.
5
Lattice="4.4176 0.0000 0.0000 0.0000 4.4176 0.0000 0.0000 0.0000 4.4176" Properties=species:S:1:pos:R:3 comment="PBE-GGA YMnCr3, optimized geometry" volume_a3_per_atom=17.24 e_tot_ev_per_fu=-41.24 delta_e_f_ev_per_atom=0.6530 pbc="T T T"
Y 2.2088 2.2088 2.2088
Cr 0.0000 2.2088 0.0000
Cr 0.0000 0.0000 2.2088
Cr 2.2088 0.0000 0.0000
Mn 0.0000 0.0000 0.0000

11.
26
Lattice="6.3358 0.0670 0.0000 -0.8718 6.2759 0.0000 0.0000 0.0000 8.0600" Properties=species:S:1:pos:R:3 comment="PBE-GGA YMn10Cr2, optimized geometry" volume_a3_per_atom=12.34 e_tot_ev_per_fu=-117.02 delta_e_f_ev_per_atom=0.0299 pbc="T T T"
Y 5.4734 0.8098 6.0450
Y -0.0095 5.5330 2.0150
Mn 2.2808 0.8029 6.0450
Mn 3.1832 5.5400 2.0150
Mn 5.0076 3.9683 6.0450
Mn 0.4563 2.3745 2.0150
Mn 2.6769 4.6842 6.0450
Mn 2.7870 1.6586 2.0150
Mn 1.2277 3.0019 6.0450
Mn 4.2363 3.3410 2.0150
Mn 5.0727 1.1550 3.1718
Mn 0.3912 5.1878 7.2018
Mn 5.0727 1.1550 0.8582
Mn 0.3912 5.1878 4.8882
Mn 3.4666 2.5386 7.4877
Mn 1.9973 3.8043 3.4577
Mn 3.4666 2.5386 4.6023
Mn 1.9973 3.8043 0.5723
Mn 4.2104 4.8877 0.0000
Mn 1.2535 1.4552 4.0300
Mn 1.2535 1.4552 0.0000
Mn 4.2104 4.8877 4.0300
Cr 3.1679 0.0335 0.0000
Cr 3.1679 0.0335 4.0300
Cr -0.4359 3.1379 4.0300
Cr -0.4359 3.1379 0.0000

12.
18
Lattice="-4.4622 4.4984 -1.1730 -2.9122 -7.2108 1.1244 -4.5567 -2.6201 7.2858" Properties=species:S:1:pos:R:3 comment="PBE-GGA YMnCr, optimized geometry" volume_a3_per_atom=17.96 e_tot_ev_per_fu=-24.32 delta_e_f_ev_per_atom=0.3137 pbc="T T T"
Y -4.7823 -3.3137 4.1257
Y -7.4912 -1.6735 3.0214
Y -7.0113 -4.8819 2.1678
Y -6.3775 1.0189 4.6862
Y -9.7694 -2.9836 6.6644
Y -2.5039 -2.0039 0.4828
Mn -7.4300 -8.0665 6.2996
Mn -2.2396 0.4542 1.5321
Mn -5.2891 -2.6353 1.2834
Mn -8.8431 -0.4783 5.3752
Mn -6.5647 0.8317 1.7324
Mn -7.5674 -3.9453 4.9262
Cr -0.0336 0.0338 -0.0088
Cr -2.3119 -1.2762 3.6341
Cr -4.5981 -0.5348 2.4709
Cr -6.1405 -5.9999 5.0798
Cr -3.8622 -4.6898 1.4369
Cr -6.8764 -1.8449 6.1138